CuAg2PS4 after structural relaxation. Source: the Alexandria database, functional PBE-GGA.

POSCAR file:
```
CuAg2PS4
1.0
5.667 0.000 -0.003
-0.001 5.667 -0.002
-2.830 -2.830 5.100
Cu S P Ag
1 4 1 2
Direct
0.986 0.486 0.972
0.662 0.625 0.710
0.847 0.424 0.234
0.387 0.810 0.234
0.048 0.085 0.709
0.736 0.736 0.472
0.485 0.986 0.972
0.237 0.236 0.472
```

Output
The space group is I-4. The value obtained for the total magnetization is 0.000 μB/f.u. Its mass density is 4.448 g/cm3. Its volume is 164 Å³/f.u. The formation energy (no corrections) is -0.20 eV per atom.

=====

CuAgP2S6 after structural relaxation. Source: the Alexandria database, functional PBE-GGA.

POSCAR file:
```
CuAgP2S6
1.0
5.929 0.347 0.360
2.321 8.752 -0.074
2.321 -0.399 8.743
S P Cu Ag
12 4 2 2
Direct
0.371 0.187 0.017
0.505 0.603 0.703
0.629 0.813 0.983
0.887 0.425 0.880
0.871 0.017 0.187
0.129 0.983 0.813
0.387 0.880 0.425
0.613 0.120 0.575
0.113 0.575 0.120
0.495 0.397 0.297
0.005 0.703 0.603
0.995 0.297 0.397
0.764 0.644 0.810
0.236 0.356 0.190
0.264 0.810 0.644
0.736 0.190 0.356
0.250 0.233 0.767
0.750 0.767 0.233
0.750 0.228 0.772
0.250 0.772 0.228
```

Output
The space group is C2/c. The value obtained for the total magnetization is 0.000 μB/f.u. Its mass density is 3.223 g/cm3. Its volume is 219 Å³/f.u. The formation energy (no corrections) is -0.11 eV per atom. As for the density of states at the Fermi level: 0.000 states/eV/atom.

=====

CuAgPSe4 after structural relaxation. Source: the Alexandria database, functional PBE-GGA.

POSCAR file:
```
CuAgPSe4
1.0
6.189 0.000 0.000
0.000 6.189 0.000
-3.095 -3.095 4.731
Se Ag P Cu
4 1 1 1
Direct
0.893 0.425 0.262
0.369 0.836 0.262
0.164 0.107 0.738
0.575 0.631 0.738
0.000 0.000 0.000
0.250 0.750 0.500
0.500 0.500 0.000
```

Output
The space group is I-4. The value obtained for the total magnetization is 0.000 μB/f.u. Its mass density is 4.748 g/cm3. Its volume is 181 Å³/f.u. The formation energy (no corrections) is -0.08 eV per atom. As for the density of states at the Fermi level: 1.061 states/eV/atom.

=====

SrCu2AgP after structural relaxation. Source: the Alexandria database, functional PBE-GGA.

POSCAR file:
```
SrCu2AgP
1.0
-3.417 2.712 0.868
-3.786 -4.161 -1.909
-0.263 -1.651 4.122
Cu P Sr Ag
2 1 1 1
Direct
0.000 0.000 0.500
0.500 0.000 0.000
0.000 0.000 0.000
0.000 0.500 0.000
0.500 0.500 0.500
```

Output
Its energy relative to the lowest polymorph listed for this composition is 0 meV per atom. The space group is P4/mmm. The value obtained for the total magnetization is 0.000 μB/f.u. Its mass density is 4.995 g/cm3. Its volume is 118 Å³/f.u. The formation enthalpy at 0 K comes out at -42 meV per atom. As for the density of states at the Fermi level: 0.051 states/eV/atom.

=====

SrCu2AgP after structural relaxation. Source: the Alexandria database, functional PBE-GGA.

POSCAR file:
```
SrCu2AgP
1.0
-4.064 -1.006 -1.813
-1.662 -1.351 4.473
-1.401 4.273 0.770
Ag Cu P Sr
1 2 1 1
Direct
0.000 0.500 0.000
0.500 0.000 0.000
0.000 0.000 0.500
0.000 0.000 0.000
0.500 0.500 0.500
```

Output
Its energy relative to the lowest polymorph listed for this composition is 26 meV per atom. The space group is P4/mmm. The value obtained for the total magnetization is 0.000 μB/f.u. Its mass density is 5.687 g/cm3. Its volume is 103 Å³/f.u. The formation enthalpy at 0 K comes out at -16 meV per atom. As for the density of states at the Fermi level: 0.649 states/eV/atom.

=====

Cu2TcAgP after structural relaxation. Source: the Alexandria database, functional PBE-GGA.

POSCAR file:
```
Cu2TcAgP
1.0
-1.441 -1.534 -3.751
-2.227 -3.183 2.158
-3.432 2.579 0.263
Cu Ag Tc P
2 1 1 1
Direct
0.000 0.000 0.500
0.500 0.000 0.000
0.500 0.500 0.500
0.000 0.500 0.000
0.000 0.000 0.000
```

Output
The space group is P4/mmm. The value obtained for the total magnetization is 0.665 μB/f.u. Its mass density is 7.353 g/cm3. Its volume is 82 Å³/f.u. The formation enthalpy at 0 K comes out at 383 meV per atom. As for the density of states at the Fermi level: 0.597 states/eV/atom.

=====

Cu2AgTeP after structural relaxation. Source: the Alexandria database, functional PBE-GGA.

POSCAR file:
```
Cu2AgTeP
1.0
-1.034 0.726 -4.691
-1.139 -4.430 -0.434
-4.591 1.066 1.177
Cu Te P Ag
2 1 1 1
Direct
0.000 0.000 0.500
0.500 0.000 0.000
0.500 0.500 0.500
0.000 0.500 0.000
0.000 0.000 0.000
```

Output
The space group is P4/mmm. The value obtained for the total magnetization is 0.000 μB/f.u. Its mass density is 6.026 g/cm3. Its volume is 108 Å³/f.u. The formation energy (no corrections) is 0.84 eV per atom. As for the density of states at the Fermi level: 0.488 states/eV/atom.

=====

CuAg2Te4P after structural relaxation. Source: the Alexandria database, functional PBE-GGA.

POSCAR file:
```
CuAg2Te4P
1.0
-5.560 2.842 1.126
-0.168 -2.618 5.778
5.686 4.542 -1.263
Te Ag P Cu
4 2 1 1
Direct
0.852 0.391 0.216
0.646 0.619 0.727
0.364 0.826 0.217
0.081 0.108 0.728
0.235 0.236 0.472
0.486 0.986 0.972
0.736 0.736 0.472
0.986 0.486 0.972
```

Output
The space group is P1. The value obtained for the total magnetization is 0.000 μB/f.u. Its mass density is 5.770 g/cm3. Its volume is 236 Å³/f.u. The formation energy (no corrections) is 0.01 eV per atom. As for the density of states at the Fermi level: 0.080 states/eV/atom.

=====

TlCuAg2P after structural relaxation. Source: the Alexandria database, functional PBE-GGA.

POSCAR file:
```
TlCuAg2P
1.0
4.978 0.000 0.000
0.000 4.978 0.000
0.000 0.000 4.379
Ag Tl P Cu
2 1 1 1
Direct
0.000 0.500 0.000
0.500 0.000 0.000
0.500 0.500 0.500
0.000 0.000 0.000
0.000 0.000 0.500
```

Output
The space group is P4/mmm. The value obtained for the total magnetization is 0.000 μB/f.u. Its mass density is 7.875 g/cm3. Its volume is 109 Å³/f.u. The formation enthalpy at 0 K comes out at 156 meV per atom. As for the density of states at the Fermi level: 0.299 states/eV/atom.

=====

ZrCuAgP2 after structural relaxation. Source: the Alexandria database, functional PBE-GGA.

POSCAR file:
```
ZrCuAgP2
1.0
-4.550 1.529 -1.165
-0.352 -3.931 -3.787
-1.896 -3.075 3.368
P Cu Zr Ag
2 1 1 1
Direct
0.000 0.000 0.500
0.500 0.000 0.000
0.500 0.500 0.500
0.000 0.000 0.000
0.000 0.500 0.000
```

Output
The space group is P4/mmm. The value obtained for the total magnetization is 0.000 μB/f.u. Its mass density is 4.040 g/cm3. Its volume is 133 Å³/f.u. The formation enthalpy at 0 K comes out at 841 meV per atom. As for the density of states at the Fermi level: 0.663 states/eV/atom.

=====

PaCu9Ag2 after structural relaxation. Source: the Alexandria database, functional PBE-GGA.

POSCAR file:
```
PaCu9Ag2
1.0
4.790 0.000 1.426
2.183 4.264 1.426
0.078 0.048 8.497
Cu Ag Pa
9 2 1
Direct
0.586 0.586 0.747
0.333 0.333 0.000
0.918 0.414 0.253
0.082 0.586 0.747
0.414 0.414 0.253
0.667 0.667 0.000
0.586 0.082 0.747
0.500 0.500 0.500
0.414 0.918 0.253
0.855 0.855 0.434
0.145 0.145 0.566
0.000 0.000 0.000
```

Output
The space group is R-3m. The value obtained for the total magnetization is 0.000 μB/f.u. Its mass density is 9.785 g/cm3. Its volume is 173 Å³/f.u. The formation enthalpy at 0 K comes out at -7 meV per atom. As for the density of states at the Fermi level: 0.650 states/eV/atom.

=====

Pa2CuAg after structural relaxation. Source: the Alexandria database, functional PBE-GGA.

POSCAR file:
```
Pa2CuAg
1.0
3.027 0.000 0.000
1.514 2.622 0.000
1.514 0.874 11.101
Cu Ag Pa
1 1 2
Direct
0.500 0.500 0.500
0.000 0.000 0.000
0.906 0.906 0.282
0.094 0.094 0.718
```

Output
Its energy relative to the lowest polymorph listed for this composition is 229 meV per atom. The space group is R-3m. The value obtained for the total magnetization is 0.005 μB/f.u. Its mass density is 11.940 g/cm3. Its volume is 88 Å³/f.u. The formation enthalpy at 0 K comes out at 373 meV per atom. As for the density of states at the Fermi level: 1.812 states/eV/atom.